Record 1
Compound: Ba2Ag4Sb3Pb
Source: Alexandria via LeMat-Bulk
Functional: PBE-GGA
Structure: relaxed

Structure (extended XYZ):
```
10
Lattice="4.834 0.000 0.000 0.000 4.834 0.000 0.000 0.000 12.095" Properties=species:S:1:pos:R:3 pbc="T T T"
Ag 0.000 2.417 4.325
Ag 2.417 2.417 0.000
Ag 0.000 0.000 0.000
Ag 2.417 0.000 7.769
Ba 0.000 2.417 9.257
Ba 2.417 0.000 2.837
Sb 2.417 0.000 10.527
Sb 0.000 0.000 6.047
Sb 0.000 2.417 1.568
Pb 2.417 2.417 6.047
```

Properties
As for the uncorrected formation energy: -0.480 eV per atom.

***

Record 2
Compound: BaAgSb2Pb
Source: Alexandria via LeMat-Bulk
Functional: PBE-GGA
Structure: relaxed

Structure (extended XYZ):
```
5
Lattice="-0.577 4.856 -3.111 -5.584 1.342 3.131 2.962 2.932 4.027" Properties=species:S:1:pos:R:3 pbc="T T T"
Sb -0.289 2.428 -1.555
Sb 1.481 1.466 2.014
Ag -1.600 4.565 2.024
Pb 0.000 0.000 0.000
Ba -2.792 0.671 1.565
```

Properties
As for the uncorrected formation energy: 0.469 eV per atom.

***

Record 3
Compound: BaSmAgPb
Source: Alexandria via LeMat-Bulk
Functional: PBE-GGA
Structure: relaxed

Structure (extended XYZ):
```
4
Lattice="5.676 0.000 0.000 2.838 4.915 0.000 2.838 1.638 4.634" Properties=species:S:1:pos:R:3 pbc="T T T"
Pb 8.513 4.915 3.476
Ag 2.838 1.638 1.159
Ba 0.000 0.000 0.000
Sm 5.676 3.277 2.317
```

Properties
As for the total DFT energy (no corrections): -3.6318 eV/atom.

***

Record 4
Compound: Ba2Ag3SnPb4
Source: Alexandria via LeMat-Bulk
Functional: PBE-GGA
Structure: relaxed

Structure (extended XYZ):
```
10
Lattice="-2.768 -4.048 1.033 3.246 -2.865 -2.524 6.415 -1.769 10.258" Properties=species:S:1:pos:R:3 pbc="T T T"
Ag 4.204 -3.564 9.452
Ag 3.207 -0.884 5.129
Ag 2.450 -1.660 0.061
Ba 0.229 -2.469 3.096
Ba 6.425 -2.756 6.417
Pb 3.933 -2.069 2.432
Pb 0.000 0.000 0.000
Pb 2.720 -3.156 7.081
Pb 0.239 -3.456 -0.745
Sn 3.446 -4.340 4.384
```

Properties
As for the total DFT energy (no corrections): -3.3970 eV/atom.

***

| no. | density of states at the Fermi level (states/eV/cell) |
| --- | --- |
| 1 | 2.698 |
| 2 | 4.684 |
| 3 | 1.616 |
| 4 | 4.640 |